Record 1
A plane-wave DFT calculation with PBE-GGA was carried out for crystalline U2FeSi4Ni3 at its relaxed geometry.

Cell: 3.9889 3.9889 9.2618 Å, 90.00 90.00 90.00°
Last column: nearest neighbours and their distance in Å.
Sites, in units of the cell vectors:
1 U 0.0000 0.5000 0.2444  8 Si 3.01-3.10, 2 Fe 3.02, 6 Ni 3.02-3.08
2 U 0.5000 0.0000 0.7556  8 Si 3.01-3.10, 2 Fe 3.02, 6 Ni 3.02-3.08
3 Fe 0.5000 0.5000 0.0000  4 Si 2.34
4 Si 0.0000 0.0000 0.5000  4 Ni 2.30
5 Si 0.0000 0.5000 0.8685  3 Ni 2.28-2.34, 2 Fe 2.34
6 Si 0.5000 0.0000 0.1315  3 Ni 2.28-2.34, 2 Fe 2.34
7 Si 0.5000 0.5000 0.5000  4 Ni 2.30
8 Ni 0.0000 0.0000 0.0000  4 Si 2.34
9 Ni 0.0000 0.5000 0.6228  5 Si 2.28-2.30
10 Ni 0.5000 0.0000 0.3772  5 Si 2.28-2.30

Output
**Raw formation energy**: -0.567 eV/atom
**Theoretical density**: 9.244 g/cm3
**VASP energy**: -7.5748 eV/atom


Record 2
A plane-wave DFT calculation with PBE-GGA was carried out for crystalline VFeSiNi at its relaxed geometry.

Cell: 4.2255 4.2255 4.2255 Å, 127.94 127.94 76.73°
Last column: nearest neighbours and their distance in Å.
Sites, in units of the cell vectors:
1 V 0.0000 0.0000 0.0000  4 Fe 2.49, 4 Ni 2.49, 4 Si 2.62
2 Fe 0.2500 0.7500 0.5000  4 Si 2.49, 4 V 2.49, 4 Ni 2.62
3 Si 0.5000 0.5000 0.0000  4 Fe 2.49, 4 Ni 2.49, 4 V 2.62
4 Ni 0.7500 0.2500 0.5000  4 Si 2.49, 4 V 2.49, 4 Fe 2.62

Output
**Raw formation energy**: -0.402 eV/atom
**Theoretical density**: 7.052 g/cm3
**VASP energy**: -7.5979 eV/atom
**Offset from the most stable computed form**: 0 meV/atom


Record 3
A plane-wave DFT calculation with PBE-GGA was carried out for crystalline VFeSiNi at its relaxed geometry.

Cell: 4.0162 4.0162 4.0162 Å, 60.00 60.00 60.00°
Last column: nearest neighbours and their distance in Å.
Sites, in units of the cell vectors:
1 V 0.0000 0.0000 0.0000  4 Fe 2.46, 4 Ni 2.46
2 Fe 0.7500 0.7500 0.7500  4 Si 2.46, 4 V 2.46
3 Si 0.5000 0.5000 0.5000  4 Fe 2.46, 4 Ni 2.46
4 Ni 0.2500 0.2500 0.2500  4 Si 2.46, 4 V 2.46

Output
**Raw formation energy**: -0.367 eV/atom
**Theoretical density**: 7.017 g/cm3
**VASP energy**: -7.5638 eV/atom
**Offset from the most stable computed form**: 34 meV/atom


Record 4
A plane-wave DFT calculation with PBE-GGA was carried out for crystalline YFeSi3Ni at its relaxed geometry.

Cell: 6.7824 6.7824 5.4712 Å, 90.00 90.00 127.60°
Last column: nearest neighbours and their distance in Å.
Sites, in units of the cell vectors:
1 Y 0.2383 0.7617 0.7500  4 Si 2.81-3.02, 2 Ni 3.11
2 Y 0.7617 0.2383 0.2500  4 Si 2.81-3.02, 2 Ni 3.11
3 Fe 0.4639 0.5361 0.2500  5 Si 2.10-2.28
4 Fe 0.5361 0.4639 0.7500  5 Si 2.10-2.28
5 Si 0.2045 0.2045 0.0000  2 Fe 2.28, 2 Ni 2.32, 1 Si 2.45
6 Si 0.2045 0.2045 0.5000  2 Fe 2.28, 2 Ni 2.32, 1 Si 2.45
7 Si 0.2916 0.7084 0.2500  1 Fe 2.10, 1 Ni 2.12
8 Si 0.7084 0.2916 0.7500  1 Fe 2.10, 1 Ni 2.12
9 Si 0.7955 0.7955 0.0000  2 Fe 2.28, 2 Ni 2.32, 1 Si 2.45
10 Si 0.7955 0.7955 0.5000  2 Fe 2.28, 2 Ni 2.32, 1 Si 2.45
11 Ni 0.1171 0.8829 0.2500  5 Si 2.12-2.32
12 Ni 0.8829 0.1171 0.7500  5 Si 2.12-2.32

Output
**Raw formation energy**: -0.358 eV/atom
**Theoretical density**: 4.792 g/cm3
**VASP energy**: -6.5207 eV/atom


Record 5
A plane-wave DFT calculation with PBE-GGA was carried out for crystalline Y2FeSi3Ni12 at its relaxed geometry.

Cell: 8.9182 8.9182 8.9182 Å, 39.56 39.56 39.56°
Last column: nearest neighbours and their distance in Å.
Sites, in units of the cell vectors:
1 Y 0.1498 0.1498 0.1498  6 Ni 2.94-2.95
2 Y 0.8502 0.8502 0.8502  6 Ni 2.94-2.95
3 Fe 0.5000 0.5000 0.5000  6 Ni 2.29
4 Si 0.0000 0.5000 0.5000  6 Ni 2.22-2.37
5 Si 0.5000 0.0000 0.5000  6 Ni 2.22-2.37
6 Si 0.5000 0.5000 0.0000  6 Ni 2.22-2.37
7 Ni 0.0896 0.0896 0.6868  2 Si 2.22, 4 Ni 2.40-2.43
8 Ni 0.0896 0.6868 0.0896  2 Si 2.22, 4 Ni 2.40-2.43
9 Ni 0.1442 0.5716 0.5716  1 Fe 2.29, 1 Si 2.37, 2 Ni 2.40
10 Ni 0.3132 0.9104 0.9104  2 Si 2.22, 4 Ni 2.40-2.43
11 Ni 0.4284 0.4284 0.8558  1 Fe 2.29, 1 Si 2.37, 2 Ni 2.40
12 Ni 0.4284 0.8558 0.4284  1 Fe 2.29, 1 Si 2.37, 2 Ni 2.40
13 Ni 0.5716 0.1442 0.5716  1 Fe 2.29, 1 Si 2.37, 2 Ni 2.40
14 Ni 0.5716 0.5716 0.1442  1 Fe 2.29, 1 Si 2.37, 2 Ni 2.40
15 Ni 0.6868 0.0896 0.0896  2 Si 2.22, 4 Ni 2.40-2.43
16 Ni 0.8558 0.4284 0.4284  1 Fe 2.29, 1 Si 2.37, 2 Ni 2.40
17 Ni 0.9104 0.3132 0.9104  2 Si 2.22, 4 Ni 2.40-2.43
18 Ni 0.9104 0.9104 0.3132  2 Si 2.22, 4 Ni 2.40-2.43

Output
**Raw formation energy**: -0.072 eV/atom
**Theoretical density**: 6.555 g/cm3
**VASP energy**: -6.0183 eV/atom


Record 6
A plane-wave DFT calculation with PBE-GGA was carried out for crystalline ZnFeSiNi at its relaxed geometry.

Cell: 4.0044 4.0044 4.0044 Å, 60.00 60.00 60.00°
Last column: nearest neighbours and their distance in Å.
Sites, in units of the cell vectors:
1 Zn 0.0000 0.0000 0.0000  4 Ni 2.45, 4 Fe 2.45
2 Fe 0.2500 0.2500 0.2500  4 Si 2.45, 4 Zn 2.45
3 Si 0.5000 0.5000 0.5000  4 Ni 2.45, 4 Fe 2.45
4 Ni 0.7500 0.7500 0.7500  4 Zn 2.45, 4 Si 2.45

Output
**Raw formation energy**: -0.241 eV/atom
**Theoretical density**: 7.608 g/cm3
**VASP energy**: -5.4763 eV/atom


Record 7
A plane-wave DFT calculation with PBE-GGA was carried out for crystalline ZrFeSi3Ni at its relaxed geometry.

Cell: 6.1027 6.1027 5.6800 Å, 90.00 90.00 124.76°
Last column: nearest neighbours and their distance in Å.
Sites, in units of the cell vectors:
1 Zr 0.2051 0.7949 0.7500  1 Ni 2.50
2 Zr 0.7949 0.2051 0.2500  1 Ni 2.50
3 Fe 0.1238 0.8762 0.2500  5 Si 2.28-2.30
4 Fe 0.8762 0.1238 0.7500  5 Si 2.28-2.30
5 Si 0.2134 0.2134 0.0000  2 Ni 2.26, 2 Fe 2.30, 1 Si 2.42
6 Si 0.2134 0.2134 0.5000  2 Ni 2.26, 2 Fe 2.30, 1 Si 2.42
7 Si 0.3349 0.6651 0.2500  1 Fe 2.28, 1 Ni 2.47
8 Si 0.6651 0.3349 0.7500  1 Fe 2.28, 1 Ni 2.47
9 Si 0.7866 0.7866 0.0000  2 Ni 2.26, 2 Fe 2.30, 1 Si 2.42
10 Si 0.7866 0.7866 0.5000  2 Ni 2.26, 2 Fe 2.30, 1 Si 2.42
11 Ni 0.4363 0.5637 0.7500  5 Si 2.26-2.47, 1 Zr 2.50
12 Ni 0.5637 0.4363 0.2500  5 Si 2.26-2.47, 1 Zr 2.50

Output
**Raw formation energy**: -0.236 eV/atom
**Theoretical density**: 5.542 g/cm3
**VASP energy**: -6.7459 eV/atom


Record 8
A plane-wave DFT calculation with PBE-GGA was carried out for crystalline SmFeNi4 at its relaxed geometry.

Cell: 4.9955 4.9955 3.9374 Å, 90.00 90.00 120.00°
Last column: nearest neighbours and their distance in Å.
Sites, in units of the cell vectors:
1 Sm 0.0000 0.0000 0.0000  3 Fe 2.88, 15 Ni 2.88-3.18
2 Fe 0.3333 0.6667 0.0000  6 Ni 2.44
3 Ni 0.5004 0.0008 0.5000  6 Ni 2.44-2.50, 2 Fe 2.44
4 Ni 0.5004 0.4996 0.5000  6 Ni 2.44-2.50, 2 Fe 2.44
5 Ni 0.6667 0.3333 0.0000  6 Ni 2.44
6 Ni 0.9992 0.4996 0.5000  6 Ni 2.44-2.50, 2 Fe 2.44

Output
**Theoretical density**: 8.605 g/cm3
**VASP energy**: -6.2731 eV/atom


Record 9
A plane-wave DFT calculation with PBE-GGA was carried out for crystalline Sm3Fe2Ni7 at its relaxed geometry.

Cell: 8.7172 8.7172 8.7172 Å, 33.69 33.69 33.69°
Last column: nearest neighbours and their distance in Å.
Sites, in units of the cell vectors:
1 Sm 0.0000 0.0000 0.0000  6 Fe 2.92, 12 Ni 3.21
2 Sm 0.1387 0.1387 0.1387  12 Ni 2.90-3.17, 3 Sm 3.23
3 Sm 0.8613 0.8613 0.8613  12 Ni 2.90-3.17, 3 Sm 3.23
4 Fe 0.3324 0.3324 0.3324  6 Ni 2.45-2.47
5 Fe 0.6676 0.6676 0.6676  6 Ni 2.45-2.47
6 Ni 0.0829 0.5793 0.5793  2 Fe 2.45-2.47, 5 Ni 2.51-2.57
7 Ni 0.4207 0.4207 0.9171  2 Fe 2.45-2.47, 5 Ni 2.51-2.57
8 Ni 0.4207 0.9171 0.4207  2 Fe 2.45-2.47, 5 Ni 2.51-2.57
9 Ni 0.5000 0.5000 0.5000  6 Ni 2.57
10 Ni 0.5793 0.0829 0.5793  2 Fe 2.45-2.47, 5 Ni 2.51-2.57
11 Ni 0.5793 0.5793 0.0829  2 Fe 2.45-2.47, 5 Ni 2.51-2.57
12 Ni 0.9171 0.4207 0.4207  2 Fe 2.45-2.47, 5 Ni 2.51-2.57

Output
**Theoretical density**: 8.904 g/cm3
**VASP energy**: -6.2439 eV/atom


Record 10
A plane-wave DFT calculation with PBE-GGA was carried out for crystalline Sm2Fe2Ni15 at its relaxed geometry.

Cell: 6.3016 6.3016 6.3016 Å, 82.86 82.86 82.86°
Last column: nearest neighbours and their distance in Å.
Sites, in units of the cell vectors:
1 Sm 0.1570 0.1570 0.1570  18 Ni 2.96-3.23, 1 Fe 3.04
2 Sm 0.8430 0.8430 0.8430  18 Ni 2.96-3.23, 1 Fe 3.04
3 Fe 0.4059 0.4059 0.4059  1 Fe 2.30, 3 Ni 2.56
4 Fe 0.5941 0.5941 0.5941  1 Fe 2.30, 3 Ni 2.56
5 Ni 0.0000 0.5000 0.5000  8 Ni 2.39-2.40, 2 Fe 2.56
6 Ni 0.1576 0.1576 0.6520  8 Ni 2.40-2.56, 1 Fe 2.59
7 Ni 0.1576 0.6520 0.1576  8 Ni 2.40-2.56, 1 Fe 2.59
8 Ni 0.2059 0.5000 0.7941  8 Ni 2.39-2.56
9 Ni 0.2059 0.7941 0.5000  8 Ni 2.39-2.56
10 Ni 0.3480 0.8424 0.8424  8 Ni 2.40-2.56, 1 Fe 2.59
11 Ni 0.5000 0.0000 0.5000  8 Ni 2.39-2.40, 2 Fe 2.56
12 Ni 0.5000 0.2059 0.7941  8 Ni 2.39-2.56
13 Ni 0.5000 0.5000 0.0000  8 Ni 2.39-2.40, 2 Fe 2.56
14 Ni 0.5000 0.7941 0.2059  8 Ni 2.39-2.56
15 Ni 0.6520 0.1576 0.1576  8 Ni 2.40-2.56, 1 Fe 2.59
16 Ni 0.7941 0.2059 0.5000  8 Ni 2.39-2.56
17 Ni 0.7941 0.5000 0.2059  8 Ni 2.39-2.56
18 Ni 0.8424 0.3480 0.8424  8 Ni 2.40-2.56, 1 Fe 2.59
19 Ni 0.8424 0.8424 0.3480  8 Ni 2.40-2.56, 1 Fe 2.59

Output
**Theoretical density**: 8.767 g/cm3
**VASP energy**: -6.1432 eV/atom


Record 11
A plane-wave DFT calculation with PBE-GGA was carried out for crystalline SmFe2Ni4 at its relaxed geometry.

Cell: 5.0503 5.0503 4.8280 Å, 118.47 118.47 76.84°
Last column: nearest neighbours and their distance in Å.
Sites, in units of the cell vectors:
1 Sm 0.0000 0.0000 0.0000  12 Ni 2.70-2.98
2 Fe 0.5000 0.5000 0.2500  2 Fe 2.41, 8 Ni 2.57
3 Fe 0.5000 0.5000 0.7500  2 Fe 2.41, 8 Ni 2.57
4 Ni 0.9999 0.3920 0.6959  4 Ni 2.46-2.60, 4 Fe 2.57, 1 Sm 2.70
5 Ni 0.0001 0.6080 0.3041  4 Ni 2.46-2.60, 4 Fe 2.57, 1 Sm 2.70
6 Ni 0.3920 0.9999 0.6959  4 Ni 2.46-2.60, 4 Fe 2.57, 1 Sm 2.70
7 Ni 0.6080 0.0001 0.3041  4 Ni 2.46-2.60, 4 Fe 2.57, 1 Sm 2.70

Output
**Theoretical density**: 8.669 g/cm3
**VASP energy**: -6.5483 eV/atom


Record 12
A plane-wave DFT calculation with PBE-GGA was carried out for crystalline Sm2Zn2FeNi5 at its relaxed geometry.

Cell: 9.4412 9.4412 3.4729 Å, 90.00 90.00 90.00°
Last column: nearest neighbours and their distance in Å.
Sites, in units of the cell vectors:
1 Sm 0.1771 0.3229 0.0000  3 Zn 2.69-2.87, 2 Ni 2.93
2 Sm 0.3229 0.8229 0.0000  3 Zn 2.69-2.87, 2 Ni 2.93
3 Sm 0.6771 0.1771 0.0000  3 Zn 2.69-2.87, 2 Ni 2.93
4 Sm 0.8229 0.6771 0.0000  3 Zn 2.69-2.87, 2 Ni 2.93
5 Zn 0.1217 0.6217 0.0000  6 Ni 2.38-2.56
6 Zn 0.3783 0.1217 0.0000  6 Ni 2.38-2.56
7 Zn 0.6217 0.8783 0.0000  6 Ni 2.38-2.56
8 Zn 0.8783 0.3783 0.0000  6 Ni 2.38-2.56
9 Fe 0.0000 0.0000 0.0000  8 Ni 2.56
10 Fe 0.5000 0.5000 0.0000  8 Ni 2.56
11 Ni 0.0000 0.5000 0.5000  4 Zn 2.38
12 Ni 0.0530 0.8080 0.5000  2 Zn 2.56, 2 Fe 2.56, 2 Ni 2.66
13 Ni 0.1920 0.0530 0.5000  2 Zn 2.56, 2 Fe 2.56, 2 Ni 2.66
14 Ni 0.3080 0.5530 0.5000  2 Zn 2.56, 2 Fe 2.56, 2 Ni 2.66
15 Ni 0.4470 0.3080 0.5000  2 Zn 2.56, 2 Fe 2.56, 2 Ni 2.66
16 Ni 0.5000 0.0000 0.5000  4 Zn 2.38
17 Ni 0.5530 0.6920 0.5000  2 Zn 2.56, 2 Fe 2.56, 2 Ni 2.66
18 Ni 0.6920 0.4470 0.5000  2 Zn 2.56, 2 Fe 2.56, 2 Ni 2.66
19 Ni 0.8080 0.9470 0.5000  2 Zn 2.56, 2 Fe 2.56, 2 Ni 2.66
20 Ni 0.9470 0.1920 0.5000  2 Zn 2.56, 2 Fe 2.56, 2 Ni 2.66

Output
**Theoretical density**: 8.377 g/cm3
**VASP energy**: -5.0597 eV/atom